(1)
A relaxed structure of Tm8CoCu2, computed with PBE-GGA.

## Properties
- ΔE_f: -0.136 eV per atom
- Energy above the lowest structure with this stoichiometry: 0 meV/atom

a = 8.7930 Å, b = 8.7930 Å, c = 6.5322 Å
α = 106.31°, β = 106.31°, γ = 33.16°
Atoms (fractional coordinates):
Tm 0.0317 0.0317 0.2928
Tm 0.2003 0.2003 0.8192
Tm 0.3360 0.3360 0.5262
Tm 0.4100 0.4100 0.0650
Tm 0.5900 0.5900 0.9350
Tm 0.6640 0.6640 0.4738
Tm 0.7997 0.7997 0.1808
Tm 0.9683 0.9683 0.7072
Co 0.5000 0.5000 0.5000
Cu 0.1850 0.1850 0.2209
Cu 0.8150 0.8150 0.7791

(2)
A relaxed structure of La8Ga3SBr4, computed with PBE-GGA.

## Properties
- Formation energy (no corrections): -18.66 eV per formula unit

a = 8.8574 Å, b = 8.8574 Å, c = 8.8574 Å
α = 59.26°, β = 59.26°, γ = 59.26°
Atoms (fractional coordinates):
La 0.2437 0.2437 0.2437
La 0.2471 0.7381 0.7381
La 0.2619 0.2619 0.7529
La 0.2619 0.7529 0.2619
La 0.7381 0.2471 0.7381
La 0.7381 0.7381 0.2471
La 0.7529 0.2619 0.2619
La 0.7563 0.7563 0.7563
Ga 0.0000 0.0000 0.5000
Ga 0.0000 0.5000 0.0000
Ga 0.5000 0.0000 0.0000
S 0.5000 0.5000 0.5000
Br 0.0000 0.0000 0.0000
Br 0.0000 0.5000 0.5000
Br 0.5000 0.0000 0.5000
Br 0.5000 0.5000 0.0000

(3)
A relaxed structure of SrMg2W, computed with PBE-GGA.

## Properties
- ΔE_f: 0.765 eV per atom
- Energy above the lowest structure with this stoichiometry: 183 meV/atom

a = 10.2172 Å, b = 3.0302 Å, c = 6.1632 Å
α = 90.00°, β = 96.63°, γ = 90.00°
Atoms (fractional coordinates):
Sr 0.0000 0.0000 0.0000
Sr 0.5000 0.5000 0.0000
Mg 0.0097 0.5000 0.5385
Mg 0.2608 0.5000 0.3077
Mg 0.5097 0.0000 0.5385
Mg 0.7608 0.0000 0.3077
W 0.2475 0.0000 0.7014
W 0.7475 0.5000 0.7014

(4)
A relaxed structure of Sm2GdEr, computed with PBE-GGA.

## Properties
- ΔE_f: 0.015 eV per atom
- Energy above the lowest structure with this stoichiometry: 0 meV/atom

a = 5.0720 Å, b = 5.0720 Å, c = 5.0599 Å
α = 90.00°, β = 90.00°, γ = 90.00°
Atoms (fractional coordinates):
Sm 0.0000 0.5000 0.0000
Sm 0.5000 0.0000 0.0000
Gd 0.0000 0.0000 0.5000
Er 0.5000 0.5000 0.5000